Entry 1:
# BeV2As GGA-PBE relaxed
data_BeV2As
_space_group_name_H-M_alt 'P 4/m m m'
_space_group_IT_number 123
_space_group_name_Hall '-P 4 2'
_cell_length_a 3.6136
_cell_length_b 3.6136
_cell_length_c 3.8030
_cell_angle_alpha 90.00
_cell_angle_beta 90.00
_cell_angle_gamma 90.00
loop_
_atom_site_label
_atom_site_fract_x
_atom_site_fract_y
_atom_site_fract_z
Be1 0.0000 0.0000 0.0000
V1 0.0000 0.5000 0.5000
As1 0.5000 0.5000 0.0000
# Final energy ... -0.2484 hartree per atom
# V ... 12.4 A^3/atom
# Energy relative to the lowest polymorph listed for this composition ... 0 meV per atom
# Calculated formation energy ... -0.105 eV/atom
# Fermi-level density of states ... 3.968 states/eV per cell



Entry 2:
# BeV2As GGA-PBE relaxed
data_BeV2As
_space_group_name_H-M_alt 'I -4 2 d'
_space_group_IT_number 122
_space_group_name_Hall 'I -4 2bw'
_cell_length_a 3.4921
_cell_length_b 3.4921
_cell_length_c 17.8573
_cell_angle_alpha 90.00
_cell_angle_beta 90.00
_cell_angle_gamma 90.00
loop_
_atom_site_label
_atom_site_fract_x
_atom_site_fract_y
_atom_site_fract_z
Be1 0.0000 0.0000 0.0000
V1 0.2499 0.2500 0.1250
As1 0.0000 0.0000 0.5000
# Final energy ... -0.2348 hartree per atom
# V ... 13.6 A^3/atom
# Energy relative to the lowest polymorph listed for this composition ... 370 meV per atom
# Calculated formation energy ... 0.265 eV/atom
# Fermi-level density of states ... 13.640 states/eV per cell



Entry 3:
# Be4VAs GGA-PBE relaxed
data_Be4VAs
_space_group_name_H-M_alt 'F -4 3 m'
_space_group_IT_number 216
_space_group_name_Hall 'F -4 2 3'
_cell_length_a 6.2990
_cell_length_b 6.2990
_cell_length_c 6.2990
_cell_angle_alpha 90.00
_cell_angle_beta 90.00
_cell_angle_gamma 90.00
loop_
_atom_site_label
_atom_site_fract_x
_atom_site_fract_y
_atom_site_fract_z
Be1 0.1223 0.1223 0.1223
V1 0.2500 0.2500 0.7500
As1 0.0000 0.0000 0.5000
# Final energy ... -0.1708 hartree per atom
# V ... 10.4 A^3/atom
# Calculated formation energy ... 0.132 eV/atom
# Fermi-level density of states ... 16.955 states/eV per cell



Entry 4:
# BeAsW2 GGA-PBE relaxed
data_BeAsW2
_space_group_name_H-M_alt 'I -4 2 d'
_space_group_IT_number 122
_space_group_name_Hall 'I -4 2bw'
_cell_length_a 3.7426
_cell_length_b 3.7426
_cell_length_c 18.0220
_cell_angle_alpha 90.00
_cell_angle_beta 90.00
_cell_angle_gamma 90.00
loop_
_atom_site_label
_atom_site_fract_x
_atom_site_fract_y
_atom_site_fract_z
Be1 0.0000 0.0000 0.0000
As1 0.0000 0.0000 0.5000
W1 0.2298 0.2500 0.1250
# Final energy ... -0.2945 hartree per atom
# V ... 15.8 A^3/atom
# Energy relative to the lowest polymorph listed for this composition ... 450 meV per atom
# Calculated formation energy ... 0.556 eV/atom
# Fermi-level density of states ... 4.782 states/eV per cell



Entry 5:
# BeAsW GGA-PBE relaxed
data_BeAsW
_space_group_name_H-M_alt 'I 4 m m'
_space_group_IT_number 107
_space_group_name_Hall 'I 4 -2'
_cell_length_a 2.8069
_cell_length_b 2.8069
_cell_length_c 12.7021
_cell_angle_alpha 90.00
_cell_angle_beta 90.00
_cell_angle_gamma 90.00
loop_
_atom_site_label
_atom_site_fract_x
_atom_site_fract_y
_atom_site_fract_z
Be1 0.0000 0.0000 0.0000
As1 0.0000 0.0000 0.2725
W1 0.0000 0.0000 0.6190
# Final energy ... -0.2407 hartree per atom
# V ... 16.7 A^3/atom
# Energy relative to the lowest polymorph listed for this composition ... 503 meV per atom
# Calculated formation energy ... 0.560 eV/atom
# Fermi-level density of states ... 5.703 states/eV per cell



Entry 6:
# BeAsW2 GGA-PBE relaxed
data_BeAsW2
_space_group_name_H-M_alt 'C 1 2/m 1'
_space_group_IT_number 12
_cell_length_a 8.5466
_cell_length_b 3.0796
_cell_length_c 4.5421
_cell_angle_alpha 90.00
_cell_angle_beta 97.80
_cell_angle_gamma 90.00
loop_
_space_group_symop_operation_xyz
'x,y,z'
'-x,-y,-z'
'-x,y,-z'
'x,-y,z'
'x+1/2,y+1/2,z'
'-x+1/2,-y+1/2,-z'
'-x+1/2,y+1/2,-z'
'x+1/2,-y+1/2,z'
loop_
_atom_site_label
_atom_site_fract_x
_atom_site_fract_y
_atom_site_fract_z
Be1 0.0000 0.0000 0.0000
As1 0.0000 0.5000 0.5000
W1 0.2470 0.5000 0.2335
# Final energy ... -0.3022 hartree per atom
# V ... 14.8 A^3/atom
# Energy relative to the lowest polymorph listed for this composition ... 241 meV per atom
# Calculated formation energy ... 0.347 eV/atom
# Fermi-level density of states ... 3.632 states/eV per cell



Entry 7:
# BeAsW2 GGA-PBE relaxed
data_BeAsW2
_space_group_name_H-M_alt 'C 1 m 1'
_space_group_IT_number 8
_cell_length_a 8.9579
_cell_length_b 2.9789
_cell_length_c 4.4016
_cell_angle_alpha 90.00
_cell_angle_beta 105.72
_cell_angle_gamma 90.00
loop_
_space_group_symop_operation_xyz
'x,y,z'
'x,-y,z'
'x+1/2,y+1/2,z'
'x+1/2,-y+1/2,z'
loop_
_atom_site_label
_atom_site_fract_x
_atom_site_fract_y
_atom_site_fract_z
Be1 0.0000 0.0000 0.0000
As1 0.2690 0.0000 0.6773
W1 0.0195 0.5000 0.5021
W2 0.2371 0.5000 0.1450
# Final energy ... -0.3043 hartree per atom
# V ... 14.1 A^3/atom
# Energy relative to the lowest polymorph listed for this composition ... 184 meV per atom
# Calculated formation energy ... 0.290 eV/atom
# Fermi-level density of states ... 4.773 states/eV per cell



Entry 8:
# BeAsW GGA-PBE relaxed
data_BeAsW
_space_group_name_H-M_alt 'I 4 m m'
_space_group_IT_number 107
_space_group_name_Hall 'I 4 -2'
_cell_length_a 3.1479
_cell_length_b 3.1479
_cell_length_c 8.0775
_cell_angle_alpha 90.00
_cell_angle_beta 90.00
_cell_angle_gamma 90.00
loop_
_atom_site_label
_atom_site_fract_x
_atom_site_fract_y
_atom_site_fract_z
Be1 0.0000 0.0000 0.0000
As1 0.0000 0.0000 0.3386
W1 0.0000 0.0000 0.6670
# Final energy ... -0.2592 hartree per atom
# V ... 13.3 A^3/atom
# Energy relative to the lowest polymorph listed for this composition ... 0 meV per atom
# Calculated formation energy ... 0.057 eV/atom
# Fermi-level density of states ... 2.646 states/eV per cell



Entry 9:
# BeAsW2 GGA-PBE relaxed
data_BeAsW2
_space_group_name_H-M_alt 'P 4/m m m'
_space_group_IT_number 123
_space_group_name_Hall '-P 4 2'
_cell_length_a 3.0984
_cell_length_b 3.0984
_cell_length_c 5.8648
_cell_angle_alpha 90.00
_cell_angle_beta 90.00
_cell_angle_gamma 90.00
loop_
_atom_site_label
_atom_site_fract_x
_atom_site_fract_y
_atom_site_fract_z
Be1 0.0000 0.0000 0.0000
As1 0.0000 0.0000 0.5000
W1 0.5000 0.5000 0.2223
# Final energy ... -0.3010 hartree per atom
# V ... 14.1 A^3/atom
# Energy relative to the lowest polymorph listed for this composition ... 274 meV per atom
# Calculated formation energy ... 0.380 eV/atom
# Fermi-level density of states ... 2.342 states/eV per cell



Entry 10:
# BeAsW2 GGA-PBE relaxed
data_BeAsW2
_space_group_name_H-M_alt 'R -3 m'
_space_group_IT_number 166
_space_group_name_Hall '-R 3 2"'
_cell_length_a 2.9121
_cell_length_b 2.9121
_cell_length_c 23.8908
_cell_angle_alpha 90.00
_cell_angle_beta 90.00
_cell_angle_gamma 120.00
loop_
_atom_site_label
_atom_site_fract_x
_atom_site_fract_y
_atom_site_fract_z
Be1 0.0000 0.0000 0.0000
As1 0.0000 0.0000 0.5000
W1 0.0000 0.0000 0.2519
# Final energy ... -0.2973 hartree per atom
# V ... 14.6 A^3/atom
# Energy relative to the lowest polymorph listed for this composition ... 376 meV per atom
# Calculated formation energy ... 0.481 eV/atom
# Fermi-level density of states ... 10.109 states/eV per cell



Entry 11:
# BeAsW2 GGA-PBE relaxed
data_BeAsW2
_space_group_name_H-M_alt 'I -4 m 2'
_space_group_IT_number 119
_space_group_name_Hall 'I -4 -2'
_cell_length_a 3.7601
_cell_length_b 3.7601
_cell_length_c 8.0903
_cell_angle_alpha 90.00
_cell_angle_beta 90.00
_cell_angle_gamma 90.00
loop_
_atom_site_label
_atom_site_fract_x
_atom_site_fract_y
_atom_site_fract_z
Be1 0.0000 0.0000 0.0000
As1 0.0000 0.5000 0.2500
W1 0.0000 0.0000 0.5000
W2 0.0000 0.5000 0.7500
# Final energy ... -0.3006 hartree per atom
# V ... 14.3 A^3/atom
# Energy relative to the lowest polymorph listed for this composition ... 285 meV per atom
# Calculated formation energy ... 0.391 eV/atom
# Fermi-level density of states ... 4.652 states/eV per cell



Entry 12:
# BeAsW GGA-PBE relaxed
data_BeAsW
_space_group_name_H-M_alt 'P 3 m 1'
_space_group_IT_number 156
_cell_length_a 2.9292
_cell_length_b 2.9292
_cell_length_c 5.8736
_cell_angle_alpha 90.00
_cell_angle_beta 90.00
_cell_angle_gamma 120.00
loop_
_space_group_symop_operation_xyz
'x,y,z'
'-y,x-y,z'
'-x+y,-x,z'
'-y,-x,z'
'-x+y,y,z'
'x,x-y,z'
loop_
_atom_site_label
_atom_site_fract_x
_atom_site_fract_y
_atom_site_fract_z
Be1 0.0000 0.0000 0.0000
As1 0.3333 0.6667 0.6717
W1 0.6667 0.3333 0.3233
# Final energy ... -0.2453 hartree per atom
# V ... 14.5 A^3/atom
# Energy relative to the lowest polymorph listed for this composition ... 378 meV per atom
# Calculated formation energy ... 0.435 eV/atom
# Fermi-level density of states ... 2.552 states/eV per cell